# 1
A plane-wave DFT calculation with GGA-PBE was carried out for crystalline TlBiPdAu at its relaxed geometry.

Cell lengths 7.098, 7.098, 7.098 Å; angles 90.00, 90.00, 90.00 degrees
Space group F-43m (No. 216)
Inequivalent atoms, fractional coordinates:
1 Tl 0.000 0.000 0.000 x4
2 Bi 0.000 0.000 0.500 x4
3 Pd 0.250 0.250 0.750 x4
4 Au 0.250 0.250 0.250 x4

The value obtained for the energy above the most stable polymorph in this dataset is 0.081 eV/atom. The density of states at the Fermi level comes out at 10.931 states/eV per cell. The mass density comes out at 13.3 g/cm³. The total moment is 0.00 μB per cell. Its formation energy is -6 meV/atom. The value obtained for the total energy is -3.685 eV/atom.


# 2
A plane-wave DFT calculation with GGA-PBE was carried out for crystalline Tb2Si at its relaxed geometry.

Cell lengths 3.862, 3.862, 9.566 Å; angles 90.00, 90.00, 90.00 degrees
Space group I4/mmm (No. 139)
Inequivalent atoms, fractional coordinates:
1 Tb 0.000 0.000 0.151 x4
2 Si 0.000 0.000 0.500 x2

The density of states at the Fermi level comes out at 7.673 states/eV per cell. The mass density comes out at 8.1 g/cm³. The total moment is 0.02 μB per cell. The calculation puts the energy relative to the elements, uncorrected at -0.31 eV per atom. The value obtained for the total energy is -5.206 eV/atom.


# 3
A plane-wave DFT calculation with GGA-PBE was carried out for crystalline Be2Zn2AsO6 at its relaxed geometry.

Cell lengths 5.0377, 5.0377, 5.9518 Å; angles 90.00, 90.00, 120.00 degrees
Space group P-3 (No. 147)
Inequivalent atoms, fractional coordinates:
1 Be 0.3333 0.6667 0.2970 x2
2 Zn 0.3333 0.6667 0.7578 x2
3 As 0.0000 0.0000 0.5000 x1
4 O 0.0468 0.7057 0.2975 x6

The density of states at the Fermi level comes out at 3.366 states/eV per cell. The mass density comes out at 4.1 g/cm³. The total moment is 0.00 μB per cell. The calculation puts the energy relative to the elements, uncorrected at -1.53 eV per atom. The value obtained for the total energy is -5.568 eV/atom.